LiMo2Ru: relaxed, GGA-PBE.

Cell: 2.7509 2.7509 28.3278 Å, 90.00 90.00 120.00°
Space group R-3m (No. 166, hexagonal axes)
Asymmetric unit:
Li 0.0000 0.0000 0.0000
Mo 0.0000 0.0000 0.2452
Ru 0.0000 0.0000 0.5000

Summary:
* total moment: 0.0 μB/f.u.
* distance to the lowest polymorph of the same formula: 0.084 eV per atom
* density of states at the Fermi level: 1.28 states/eV/atom
* calculated volume: 15.47 Å³/atom
* ΔE_f: 0.30 eV/atom
* E_tot: -7.92 eV per atom